(1)
LiHfNb, relaxed, DFT PBE; space group = P-1 (2); calculated total energy = -7.097 eV per atom; energy relative to the elements = 215 meV/atom; excess energy over the best structure of this formula in the dataset = 106 meV per atom
1.0
2.9469 0.0084 0.0019
1.3290 5.4898 -0.0024
1.2142 1.2525 7.4337
Nb Hf Li
2 2 2
Cartesian
4.5239 5.4796 2.6217
0.9663 1.2710 4.8115
3.4251 4.1125 4.8945
2.0651 2.6382 2.5387
2.1462 2.5435 7.3836
3.3440 4.2071 0.0496

(2)
Li3HfNb, relaxed, DFT PBE; space group = Pm-3m (221); calculated total energy = -3.735 eV per atom; energy relative to the elements = 1418 meV/atom; excess energy over the best structure of this formula in the dataset = 0 meV per atom
1.0
4.6415 0.0000 0.0000
0.0000 4.6415 0.0000
0.0000 0.0000 4.6415
Li Hf Nb
3 1 1
Cartesian
0.0000 2.3208 0.0000
0.0000 0.0000 2.3208
2.3208 0.0000 0.0000
2.3208 2.3208 2.3208
0.0000 0.0000 0.0000

(3)
LiHfNb, relaxed, DFT PBE; space group = Cm (8); calculated total energy = -7.044 eV per atom; energy relative to the elements = 269 meV/atom; excess energy over the best structure of this formula in the dataset = 160 meV per atom
1.0
5.8616 0.0000 -0.0214
0.0000 4.5135 0.0000
-5.7998 0.0000 8.4403
Nb Hf Li
4 4 4
Cartesian
0.2248 2.2568 0.7044
-4.3453 0.0000 8.2483
-2.6751 0.0000 4.9246
-1.4454 2.2568 4.0282
-1.3805 0.0000 7.8566
-3.2083 2.2568 6.6864
-0.3084 0.0000 2.4663
1.5194 2.2568 3.6364
2.7289 0.0000 2.1936
3.2671 2.2568 1.1483
0.3672 0.0000 5.3685
-0.1710 2.2568 6.4138

(4)
LiHf2NbO, relaxed, DFT PBE; space group = P4/mmm (123); calculated total energy = -8.268 eV per atom
1.0
-2.8296 -2.5891 2.3076
2.8690 -0.0741 3.4348
-1.6940 3.1735 1.4834
O Hf Nb Li
1 2 1 1
Cartesian
0.0000 0.0000 0.0000
1.4345 -0.0370 1.7174
-1.4148 -1.2946 1.1538
-0.8273 0.2551 3.6129
-0.8470 1.5867 0.7417

(5)
Li2HfNbO6, relaxed, DFT PBE; space group = R3 (146); calculated total energy = -7.857 eV per atom
1.0
-3.4010 -3.9806 -0.3989
1.7637 -4.9288 -0.4166
-0.6073 -3.3954 4.4977
O Nb Li Hf
6 1 2 1
Cartesian
-0.7593 -7.7828 2.9968
-0.0113 -5.1839 3.2379
0.7980 -6.3741 0.6975
-2.6461 -5.8345 3.1461
-2.3396 -7.5324 0.5544
-1.7814 -4.2453 0.8540
-0.5494 -2.9981 0.0428
-0.6015 -3.3556 4.0410
-1.1165 -6.1138 1.4146
-1.6707 -9.1398 1.7708

(6)
LiHfNb2P, relaxed, DFT PBE; space group = P4/mmm (123); calculated total energy = -5.869 eV per atom; energy relative to the elements = 1615 meV/atom; excess energy over the best structure of this formula in the dataset = 348 meV per atom
1.0
4.9004 0.0000 0.0000
0.0000 4.6808 0.0000
0.0000 0.0000 4.9004
Li Nb Hf P
1 2 1 1
Cartesian
0.0000 2.3404 0.0000
2.4502 0.0000 0.0000
0.0000 0.0000 2.4502
0.0000 0.0000 0.0000
2.4502 2.3404 2.4502

(7)
LiHfNb2P, relaxed, DFT PBE; space group = P4/mmm (123); calculated total energy = -6.217 eV per atom; energy relative to the elements = 1267 meV/atom; excess energy over the best structure of this formula in the dataset = 0 meV per atom
1.0
5.0085 0.0000 0.0000
0.0000 4.9369 0.0000
0.0000 0.0000 5.0085
Hf Li P Nb
1 1 1 2
Cartesian
0.0000 0.0000 0.0000
2.5043 2.4685 2.5043
0.0000 2.4685 0.0000
2.5043 0.0000 0.0000
0.0000 0.0000 2.5043

(8)
Li2HfNbPd, relaxed, DFT PBE; space group = P4/mmm (123); calculated total energy = -4.573 eV per atom; energy relative to the elements = 1235 meV/atom
1.0
4.6434 0.0000 0.0000
0.0000 4.8858 0.0000
0.0000 0.0000 4.6434
Li Hf Pd Nb
2 1 1 1
Cartesian
2.3217 0.0000 0.0000
0.0000 0.0000 2.3217
0.0000 2.4429 0.0000
2.3217 2.4429 2.3217
0.0000 0.0000 0.0000